[1]
# Sc2FeCl (GGA-PBE, relaxed)
# Crystal system: orthorhombic
# E above lowest polymorph in eV/atom: 0.000
# Total magnetization in μB per atom: 0.00
# Raw formation energy in eV per atom: -0.706
data_Sc2FeCl
_cell_length_a 3.1245
_cell_length_b 3.2044
_cell_length_c 7.4678
_cell_angle_alpha 90.00
_cell_angle_beta 90.00
_cell_angle_gamma 90.00
_space_group_name_H-M_alt 'P m m m'
_space_group_IT_number 47
_space_group_name_Hall '-P 2 2'
loop_
_atom_site_label
_atom_site_fract_x
_atom_site_fract_y
_atom_site_fract_z
_atom_site_occupancy
Sc1 0.0000 0.0000 0.2016 1
Fe1 0.5000 0.5000 0.0000 1
Cl1 0.5000 0.0000 0.5000 1

***

[2]
# LiPmYEr (GGA-PBE, relaxed)
# Crystal system: cubic
# Total magnetization in μB per atom: 0.00
# ΔE_f in eV/atom: 0.16
data_LiPmYEr
_cell_length_a 7.7984
_cell_length_b 7.7984
_cell_length_c 7.7984
_cell_angle_alpha 90.00
_cell_angle_beta 90.00
_cell_angle_gamma 90.00
_space_group_name_H-M_alt 'F -4 3 m'
_space_group_IT_number 216
_space_group_name_Hall 'F -4 2 3'
loop_
_atom_site_label
_atom_site_fract_x
_atom_site_fract_y
_atom_site_fract_z
_atom_site_occupancy
Li1 0.0000 0.0000 0.0000 1
Pm1 0.2500 0.2500 0.7500 1
Y1 0.2500 0.2500 0.2500 1
Er1 0.0000 0.0000 0.5000 1

***

[3]
# MgZnAu3 (GGA-PBE, relaxed)
# Crystal system: triclinic
# E above lowest polymorph in eV/atom: 0.000
# Total magnetization in μB per atom: 0.00
# ΔE_f in eV/atom: -0.36
data_MgZnAu3
_cell_length_a 4.8212
_cell_length_b 4.8652
_cell_length_c 7.7611
_cell_angle_alpha 71.85
_cell_angle_beta 90.00
_cell_angle_gamma 88.91
_space_group_name_H-M_alt 'P -1'
_space_group_IT_number 2
_space_group_name_Hall '-P 1'
loop_
_atom_site_label
_atom_site_fract_x
_atom_site_fract_y
_atom_site_fract_z
_atom_site_occupancy
Mg1 0.2477 0.1942 0.2020 1
Zn1 0.2510 0.4023 0.7874 1
Au1 0.2489 0.6023 0.3889 1
Au2 0.2512 0.9923 0.6116 1
Au3 0.2515 0.7871 0.0003 1

***

[4]
# CeNb3O8 (GGA-PBE, relaxed)
# Crystal system: monoclinic
# Total magnetization in μB per atom: 0.23
# Raw formation energy in eV per atom: -2.607
data_CeNb3O8
_cell_length_a 13.2453
_cell_length_b 4.0500
_cell_length_c 6.9843
_cell_angle_alpha 90.00
_cell_angle_beta 103.07
_cell_angle_gamma 90.00
_space_group_name_H-M_alt 'C 1 m 1'
_space_group_IT_number 8
_space_group_name_Hall 'C -2y'
loop_
_atom_site_label
_atom_site_fract_x
_atom_site_fract_y
_atom_site_fract_z
_atom_site_occupancy
Ce1 0.0000 0.0000 0.0000 1
Nb1 0.0969 0.5000 0.4494 1
Nb2 0.2011 0.5000 0.0223 1
Nb3 0.3906 0.5000 0.4286 1
O1 0.0537 0.0000 0.4024 1
O2 0.0602 0.5000 0.1133 1
O3 0.1442 0.5000 0.7307 1
O4 0.1903 0.0000 0.0242 1
O5 0.2364 0.5000 0.3659 1
O6 0.3545 0.5000 0.1096 1
O7 0.4065 0.5000 0.6995 1
O8 0.4316 0.0000 0.4182 1

***

[5]
# LiGe2PdO6 (GGA-PBE, relaxed)
# Crystal system: monoclinic
# Total magnetization in μB per atom: 0.10
# Raw formation energy in eV per atom: -1.306
data_LiGe2PdO6
_cell_length_a 9.8983
_cell_length_b 9.1689
_cell_length_c 5.1734
_cell_angle_alpha 90.00
_cell_angle_beta 101.50
_cell_angle_gamma 90.00
_space_group_name_H-M_alt 'C 1 2/c 1'
_space_group_IT_number 15
_space_group_name_Hall '-C 2yc'
loop_
_atom_site_label
_atom_site_fract_x
_atom_site_fract_y
_atom_site_fract_z
_atom_site_occupancy
Li1 0.0000 0.0851 0.2500 1
Ge1 0.2015 0.4025 0.2746 1
Pd1 0.0000 0.2689 0.7500 1
O1 0.1183 0.0970 0.6301 1
O2 0.1188 0.2496 0.1138 1
O3 0.1395 0.4349 0.5818 1

***

[6]
# LiZrTe2 (GGA-PBE, relaxed)
# Crystal system: cubic
# Total magnetization in μB per atom: 0.24
# Raw formation energy in eV per atom: 0.007
data_LiZrTe2
_cell_length_a 7.2742
_cell_length_b 7.2742
_cell_length_c 7.2742
_cell_angle_alpha 90.00
_cell_angle_beta 90.00
_cell_angle_gamma 90.00
_space_group_name_H-M_alt 'F -4 3 m'
_space_group_IT_number 216
_space_group_name_Hall 'F -4 2 3'
loop_
_atom_site_label
_atom_site_fract_x
_atom_site_fract_y
_atom_site_fract_z
_atom_site_occupancy
Li1 0.0000 0.0000 0.0000 1
Zr1 0.2500 0.2500 0.2500 1
Te1 0.0000 0.0000 0.5000 1
Te2 0.2500 0.2500 0.7500 1

***

[7]
# Cs2LiU2O7 (GGA-PBE, relaxed)
# Crystal system: tetragonal
# Total magnetization in μB per atom: 0.08
# Raw formation energy in eV per atom: -2.656
data_Cs2LiU2O7
_cell_length_a 4.3368
_cell_length_b 4.3368
_cell_length_c 24.0368
_cell_angle_alpha 90.00
_cell_angle_beta 90.00
_cell_angle_gamma 90.00
_space_group_name_H-M_alt 'I 4/m m m'
_space_group_IT_number 139
_space_group_name_Hall '-I 4 2'
loop_
_atom_site_label
_atom_site_fract_x
_atom_site_fract_y
_atom_site_fract_z
_atom_site_occupancy
Cs1 0.0000 0.0000 0.1898 1
Li1 0.0000 0.0000 0.0000 1
U1 0.0000 0.0000 0.4125 1
O1 0.0000 0.0000 0.3299 1
O2 0.0000 0.0000 0.5000 1
O3 0.0000 0.5000 0.0839 1

***

[8]
# La6Sm2Sc (GGA-PBE, relaxed)
# Crystal system: trigonal
# E above lowest polymorph in eV/atom: 0.261
# Total magnetization in μB per atom: 0.00
# ΔE_f in eV/atom: 0.30
data_La6Sm2Sc
_cell_length_a 7.4802
_cell_length_b 7.4802
_cell_length_c 19.9426
_cell_angle_alpha 90.00
_cell_angle_beta 90.00
_cell_angle_gamma 120.00
_space_group_name_H-M_alt 'R 3 m'
_space_group_IT_number 160
_space_group_name_Hall 'R 3 -2"'
loop_
_atom_site_label
_atom_site_fract_x
_atom_site_fract_y
_atom_site_fract_z
_atom_site_occupancy
La1 0.1747 0.3493 0.0000 1
La2 0.1922 0.3844 0.1933 1
Sm1 0.0000 0.0000 0.6846 1
Sm2 0.0000 0.0000 0.8514 1
Sc1 0.0000 0.0000 0.1123 1

***

[9]
# BaSc4Cd5 (GGA-PBE, relaxed)
# Crystal system: tetragonal
# Total magnetization in μB per atom: 0.00
# ΔE_f in eV/atom: -0.26
data_BaSc4Cd5
_cell_length_a 3.6233
_cell_length_b 3.6233
_cell_length_c 18.7340
_cell_angle_alpha 90.00
_cell_angle_beta 90.00
_cell_angle_gamma 90.00
_space_group_name_H-M_alt 'P 4/m m m'
_space_group_IT_number 123
_space_group_name_Hall '-P 4 2'
loop_
_atom_site_label
_atom_site_fract_x
_atom_site_fract_y
_atom_site_fract_z
_atom_site_occupancy
Ba1 0.0000 0.0000 0.0000 1
Sc1 0.0000 0.0000 0.2251 1
Sc2 0.0000 0.0000 0.4086 1
Cd1 0.5000 0.5000 0.1376 1
Cd2 0.5000 0.5000 0.3168 1
Cd3 0.5000 0.5000 0.5000 1

***

[10]
# KPmSe2O6 (GGA-PBE, relaxed)
# Crystal system: trigonal
# Total magnetization in μB per atom: 0.00
# Raw formation energy in eV per atom: -1.723
data_KPmSe2O6
_cell_length_a 5.7384
_cell_length_b 5.7384
_cell_length_c 18.9956
_cell_angle_alpha 90.00
_cell_angle_beta 90.00
_cell_angle_gamma 120.00
_space_group_name_H-M_alt 'R -3'
_space_group_IT_number 148
_space_group_name_Hall '-R 3'
loop_
_atom_site_label
_atom_site_fract_x
_atom_site_fract_y
_atom_site_fract_z
_atom_site_occupancy
K1 0.0000 0.0000 0.0000 1
Pm1 0.0000 0.0000 0.5000 1
Se1 0.0000 0.0000 0.2757 1
O1 0.0363 0.4193 0.9058 1

***

[11]
# MgCo2W (GGA-PBE, relaxed)
# Crystal system: orthorhombic
# Total magnetization in μB per atom: 0.00
# ΔE_f in eV/atom: 0.14
data_MgCo2W
_cell_length_a 5.8030
_cell_length_b 6.6488
_cell_length_c 2.7453
_cell_angle_alpha 90.00
_cell_angle_beta 90.00
_cell_angle_gamma 90.00
_space_group_name_H-M_alt 'C m m m'
_space_group_IT_number 65
_space_group_name_Hall '-C 2 2'
loop_
_atom_site_label
_atom_site_fract_x
_atom_site_fract_y
_atom_site_fract_z
_atom_site_occupancy
Mg1 0.0000 0.0000 0.0000 1
Co1 0.2500 0.2500 0.5000 1
W1 0.0000 0.5000 0.0000 1

***

[12]
# Y4P3 (GGA-PBE, relaxed)
# Crystal system: trigonal
# Total magnetization in μB per atom: 0.00
# ΔE_f in eV/atom: -1.39
data_Y4P3
_cell_length_a 4.0004
_cell_length_b 4.0004
_cell_length_c 38.0379
_cell_angle_alpha 90.00
_cell_angle_beta 90.00
_cell_angle_gamma 120.00
_space_group_name_H-M_alt 'R -3 m'
_space_group_IT_number 166
_space_group_name_Hall '-R 3 2"'
loop_
_atom_site_label
_atom_site_fract_x
_atom_site_fract_y
_atom_site_fract_z
_atom_site_occupancy
Y1 0.0000 0.0000 0.1250 1
Y2 0.0000 0.0000 0.3749 1
P1 0.0000 0.0000 0.0000 1
P2 0.0000 0.0000 0.2469 1

***

[13]
# Y2ReIr2 (GGA-PBE, relaxed)
# Crystal system: tetragonal
# Total magnetization in μB per atom: 0.00
# ΔE_f in eV/atom: -0.42
data_Y2ReIr2
_cell_length_a 6.6922
_cell_length_b 6.6922
_cell_length_c 4.5508
_cell_angle_alpha 90.00
_cell_angle_beta 90.00
_cell_angle_gamma 90.00
_space_group_name_H-M_alt 'P 4/m b m'
_space_group_IT_number 127
_space_group_name_Hall '-P 4 2ab'
loop_
_atom_site_label
_atom_site_fract_x
_atom_site_fract_y
_atom_site_fract_z
_atom_site_occupancy
Y1 0.1774 0.3226 0.0000 1
Re1 0.0000 0.0000 0.5000 1
Ir1 0.1394 0.6394 0.5000 1

***

[14]
# Si2TcSb (GGA-PBE, relaxed)
# Crystal system: monoclinic
# Total magnetization in μB per atom: 0.00
# Raw formation energy in eV per atom: 0.445
data_Si2TcSb
_cell_length_a 4.5471
_cell_length_b 3.2352
_cell_length_c 4.7200
_cell_angle_alpha 90.00
_cell_angle_beta 108.59
_cell_angle_gamma 90.00
_space_group_name_H-M_alt 'P 1 2/m 1'
_space_group_IT_number 10
_space_group_name_Hall '-P 2y'
loop_
_atom_site_label
_atom_site_fract_x
_atom_site_fract_y
_atom_site_fract_z
_atom_site_occupancy
Si1 0.0000 0.0000 0.0000 1
Si2 0.0000 0.5000 0.5000 1
Tc1 0.5000 0.0000 0.5000 1
Sb1 0.5000 0.5000 0.0000 1

***

[15]
# LiCaTe2 (GGA-PBE, relaxed)
# Crystal system: cubic
# Total magnetization in μB per atom: 0.00
# Raw formation energy in eV per atom: -0.487
data_LiCaTe2
_cell_length_a 7.6679
_cell_length_b 7.6679
_cell_length_c 7.6679
_cell_angle_alpha 90.00
_cell_angle_beta 90.00
_cell_angle_gamma 90.00
_space_group_name_H-M_alt 'F -4 3 m'
_space_group_IT_number 216
_space_group_name_Hall 'F -4 2 3'
loop_
_atom_site_label
_atom_site_fract_x
_atom_site_fract_y
_atom_site_fract_z
_atom_site_occupancy
Li1 0.0000 0.0000 0.0000 1
Ca1 0.2500 0.2500 0.2500 1
Te1 0.0000 0.0000 0.5000 1
Te2 0.2500 0.2500 0.7500 1

***

[16]
# Ba2BeP (GGA-PBE, relaxed)
# Crystal system: orthorhombic
# E above lowest polymorph in eV/atom: 0.019
# Total magnetization in μB per atom: 0.00
# ΔE_f in eV/atom: -0.42
data_Ba2BeP
_cell_length_a 3.8627
_cell_length_b 4.3277
_cell_length_c 16.4008
_cell_angle_alpha 90.00
_cell_angle_beta 90.00
_cell_angle_gamma 90.00
_space_group_name_H-M_alt 'A m m 2'
_space_group_IT_number 38
_space_group_name_Hall 'A 2 -2'
loop_
_atom_site_label
_atom_site_fract_x
_atom_site_fract_y
_atom_site_fract_z
_atom_site_occupancy
Ba1 0.0000 0.0000 0.0000 1
Ba2 0.5000 0.0000 0.2525 1
Be1 0.0000 0.0000 0.6489 1
P1 0.5000 0.0000 0.5952 1

***

[17]
# MgCd3Hg2 (GGA-PBE, relaxed)
# Crystal system: triclinic
# E above lowest polymorph in eV/atom: 0.000
# Total magnetization in μB per atom: 0.00
# ΔE_f in eV/atom: -0.05
data_MgCd3Hg2
_cell_length_a 3.7239
_cell_length_b 7.6182
_cell_length_c 10.1830
_cell_angle_alpha 99.81
_cell_angle_beta 90.17
_cell_angle_gamma 103.39
_space_group_name_H-M_alt 'P -1'
_space_group_IT_number 2
_space_group_name_Hall '-P 1'
loop_
_atom_site_label
_atom_site_fract_x
_atom_site_fract_y
_atom_site_fract_z
_atom_site_occupancy
Mg1 0.1179 0.2396 0.1087 1
Cd1 0.0395 0.0824 0.3749 1
Cd2 0.3008 0.5913 0.6299 1
Cd3 0.3686 0.7455 0.3771 1
Hg1 0.2178 0.4306 0.8752 1
Hg2 0.4598 0.9277 0.1331 1

***

[18]
# AcErF6 (GGA-PBE, relaxed)
# Crystal system: orthorhombic
# Total magnetization in μB per atom: 0.00
# Raw formation energy in eV per atom: -4.039
data_AcErF6
_cell_length_a 3.9980
_cell_length_b 7.1931
_cell_length_c 7.8232
_cell_angle_alpha 90.00
_cell_angle_beta 90.00
_cell_angle_gamma 90.00
_space_group_name_H-M_alt 'A m m 2'
_space_group_IT_number 38
_space_group_name_Hall 'A 2 -2'
loop_
_atom_site_label
_atom_site_fract_x
_atom_site_fract_y
_atom_site_fract_z
_atom_site_occupancy
Ac1 0.0000 0.0000 0.0000 1
Er1 0.5000 0.0000 0.4721 1
F1 0.0000 0.0000 0.3484 1
F2 0.0000 0.1742 0.6267 1
F3 0.5000 0.0000 0.1847 1
F4 0.5000 0.2017 0.9001 1

***

[19]
# Cs3TlTe (GGA-PBE, relaxed)
# Crystal system: cubic
# E above lowest polymorph in eV/atom: 0.000
# Total magnetization in μB per atom: 0.37
# Raw formation energy in eV per atom: -0.356
data_Cs3TlTe
_cell_length_a 7.3675
_cell_length_b 7.3675
_cell_length_c 7.3675
_cell_angle_alpha 90.00
_cell_angle_beta 90.00
_cell_angle_gamma 90.00
_space_group_name_H-M_alt 'P m -3 m'
_space_group_IT_number 221
_space_group_name_Hall '-P 4 2 3'
loop_
_atom_site_label
_atom_site_fract_x
_atom_site_fract_y
_atom_site_fract_z
_atom_site_occupancy
Cs1 0.0000 0.0000 0.5000 1
Tl1 0.5000 0.5000 0.5000 1
Te1 0.0000 0.0000 0.0000 1

***

[20]
# RbGa2SbSe6 (GGA-PBE, relaxed)
# Crystal system: monoclinic
# Total magnetization in μB per atom: 0.00
# Raw formation energy in eV per atom: -0.426
data_RbGa2SbSe6
_cell_length_a 14.6135
_cell_length_b 14.6155
_cell_length_c 7.5772
_cell_angle_alpha 90.00
_cell_angle_beta 114.48
_cell_angle_gamma 90.00
_space_group_name_H-M_alt 'C 1 2/c 1'
_space_group_IT_number 15
_space_group_name_Hall '-C 2yc'
loop_
_atom_site_label
_atom_site_fract_x
_atom_site_fract_y
_atom_site_fract_z
_atom_site_occupancy
Rb1 0.0000 0.0462 0.2500 1
Ga1 0.2177 0.4289 0.1535 1
Sb1 0.0000 0.2569 0.7500 1
Se1 0.0650 0.3407 0.0745 1
Se2 0.1230 0.1606 0.6614 1
Se3 0.2287 0.4334 0.4950 1

***

[21]
# NaCaAuSe2 (GGA-PBE, relaxed)
# Crystal system: monoclinic
# Total magnetization in μB per atom: 0.00
# Raw formation energy in eV per atom: -1.128
data_NaCaAuSe2
_cell_length_a 6.7388
_cell_length_b 5.5956
_cell_length_c 7.7811
_cell_angle_alpha 90.00
_cell_angle_beta 90.45
_cell_angle_gamma 90.00
_space_group_name_H-M_alt 'P 1 2/c 1'
_space_group_IT_number 13
_space_group_name_Hall '-P 2yc'
loop_
_atom_site_label
_atom_site_fract_x
_atom_site_fract_y
_atom_site_fract_z
_atom_site_occupancy
Na1 0.0000 0.0047 0.2500 1
Ca1 0.5000 0.4984 0.7500 1
Au1 0.5000 0.0000 0.0000 1
Se1 0.2282 0.2945 0.9989 1

***

[22]
# Cd3CoAs (GGA-PBE, relaxed)
# Crystal system: cubic
# E above lowest polymorph in eV/atom: 0.282
# Total magnetization in μB per atom: 0.45
# ΔE_f in eV/atom: 0.92
data_Cd3CoAs
_cell_length_a 5.2718
_cell_length_b 5.2718
_cell_length_c 5.2718
_cell_angle_alpha 90.00
_cell_angle_beta 90.00
_cell_angle_gamma 90.00
_space_group_name_H-M_alt 'P m -3 m'
_space_group_IT_number 221
_space_group_name_Hall '-P 4 2 3'
loop_
_atom_site_label
_atom_site_fract_x
_atom_site_fract_y
_atom_site_fract_z
_atom_site_occupancy
Cd1 0.0000 0.0000 0.5000 1
Co1 0.5000 0.5000 0.5000 1
As1 0.0000 0.0000 0.0000 1

***

[23]
# Hf3ZrRh6 (GGA-PBE, relaxed)
# Crystal system: monoclinic
# Total magnetization in μB per atom: 0.00
# ΔE_f in eV/atom: -0.83
data_Hf3ZrRh6
_cell_length_a 7.8852
_cell_length_b 4.6046
_cell_length_c 9.7502
_cell_angle_alpha 90.00
_cell_angle_beta 107.80
_cell_angle_gamma 90.00
_space_group_name_H-M_alt 'P 1 21/m 1'
_space_group_IT_number 11
_space_group_name_Hall '-P 2yb'
loop_
_atom_site_label
_atom_site_fract_x
_atom_site_fract_y
_atom_site_fract_z
_atom_site_occupancy
Hf1 0.0214 0.2500 0.3846 1
Hf2 0.1317 0.7500 0.1927 1
Hf3 0.3005 0.2500 0.9835 1
Zr1 0.4404 0.2500 0.6071 1
Rh1 0.0486 0.7500 0.9064 1
Rh2 0.1382 0.2500 0.6835 1
Rh3 0.2515 0.7500 0.4896 1
Rh4 0.3360 0.2500 0.2983 1
Rh5 0.3562 0.7500 0.8069 1
Rh6 0.4118 0.7500 0.1134 1